[1]
LiSb2Os | the Alexandria database | PBE | optimized geometry; total energy = -5.30 eV/atom; uncorrected formation energy = 0.05 eV per atom; SG = C2/m
1.0
8.2240 0.0000 0.0000
0.0000 3.3046 0.0000
-1.0742 0.0000 5.8913
Li Sb Os
2 4 2
direct
0.0000 0.0000 0.0000
0.5000 0.5000 0.0000
0.2367 0.0000 0.7277
0.2633 0.5000 0.2723
0.7367 0.5000 0.7277
0.7633 0.0000 0.2723
0.0000 0.5000 0.5000
0.5000 0.0000 0.5000



[2]
Li2SbOs | the Alexandria database | PBE | optimized geometry; total energy = -4.61 eV/atom; uncorrected formation energy = 0.19 eV per atom; SG = Cmmm
1.0
5.4003 0.0000 0.0000
0.0000 8.7031 0.0000
0.0000 0.0000 2.7894
Li Sb Os
4 2 2
direct
0.2500 0.2500 0.0000
0.2500 0.7500 0.0000
0.7500 0.2500 0.0000
0.7500 0.7500 0.0000
0.0000 0.0000 0.5000
0.5000 0.5000 0.5000
0.0000 0.5000 0.5000
0.5000 0.0000 0.5000



[3]
Li2SbOs | the Alexandria database | PBE | optimized geometry; total energy = -4.83 eV/atom; uncorrected formation energy = -0.04 eV per atom; SG = Imm2
1.0
3.7107 0.0000 0.0000
0.0000 4.1074 0.0000
0.0000 0.0000 7.7695
Li Sb Os
4 2 2
direct
0.0000 0.0000 0.0000
0.0000 0.5000 0.2688
0.5000 0.0000 0.7688
0.5000 0.5000 0.5000
0.0000 0.0000 0.5114
0.5000 0.5000 0.0114
0.0000 0.5000 0.7518
0.5000 0.0000 0.2518



[4]
LiSb2Os | the Alexandria database | PBE | optimized geometry; total energy = -4.89 eV/atom; uncorrected formation energy = 0.46 eV per atom; SG = Cmm2
1.0
3.2606 0.0000 0.0000
0.0000 5.0931 0.0000
0.0000 0.0000 10.1718
Li Sb Os
2 4 2
direct
0.0000 0.0000 0.0000
0.5000 0.5000 0.0000
0.0000 0.0000 0.4141
0.0000 0.5000 0.7615
0.5000 0.0000 0.7615
0.5000 0.5000 0.4141
0.0000 0.5000 0.2073
0.5000 0.0000 0.2073



What did the first record say?
LiSb2Os | the Alexandria database | PBE | optimized geometry; total energy = -5.30 eV/atom; uncorrected formation energy = 0.05 eV per atom; SG = C2/m
1.0
8.2240 0.0000 0.0000
0.0000 3.3046 0.0000
-1.0742 0.0000 5.8913
Li Sb Os
2 4 2
direct
0.0000 0.0000 0.0000
0.5000 0.5000 0.0000
0.2367 0.0000 0.7277
0.2633 0.5000 0.2723
0.7367 0.5000 0.7277
0.7633 0.0000 0.2723
0.0000 0.5000 0.5000
0.5000 0.0000 0.5000